[1]
The following is a PBE-GGA calculation of a geometry-optimized LiC2ClF structure, from the Alexandria database.

- ΔE_f (raw) (eV per atom) = 1.5680
- M_tot (Bohr magnetons per cell) = 0.00

Structure (CIF):
```
data_LiC2ClF
_chemical_formula_sum 'Li1 C2 Cl1 F1'
_symmetry_space_group_name_H-M 'P 4/m m m'
_symmetry_Int_Tables_number 123
_symmetry_space_group_name_Hall '-P 4 2'
_cell_length_a 3.465
_cell_length_b 3.465
_cell_length_c 6.005
_cell_angle_alpha 90.00
_cell_angle_beta 90.00
_cell_angle_gamma 90.00
loop_
_atom_site_label
_atom_site_type_symbol
_atom_site_fract_x
_atom_site_fract_y
_atom_site_fract_z
Li1 Li 0.000 0.000 0.000
C1 C 0.000 0.500 0.500
Cl1 Cl 0.500 0.500 0.500
F1 F 0.500 0.500 0.000
```

[2]
The following is a PBE-GGA calculation of a geometry-optimized PRh3 structure, from the Alexandria database.

- M_tot (Bohr magnetons per cell) = 0.00
- ΔE_f (meV/atom) = -58

Structure (CIF):
```
data_PRh3
_chemical_formula_sum 'P1 Rh3'
_symmetry_space_group_name_H-M 'P m m 2'
_symmetry_Int_Tables_number 25
_cell_length_a 2.828
_cell_length_b 4.304
_cell_length_c 4.623
_cell_angle_alpha 90.00
_cell_angle_beta 90.00
_cell_angle_gamma 90.00
loop_
_symmetry_equiv_pos_as_xyz
'x,y,z'
'-x,-y,z'
'-x,y,z'
'x,-y,z'
loop_
_atom_site_label
_atom_site_type_symbol
_atom_site_fract_x
_atom_site_fract_y
_atom_site_fract_z
P1 P 0.000 0.000 0.000
Rh1 Rh 0.000 0.500 0.282
Rh2 Rh 0.500 0.000 0.427
Rh3 Rh 0.500 0.500 0.783
```

[3]
The following is a PBE-GGA calculation of a geometry-optimized K2U2RuS6 structure, from the Alexandria database.

- ΔE_f (raw) (eV per atom) = -1.1598
- M_tot (Bohr magnetons per cell) = 8.00

Structure (CIF):
```
data_K2U2RuS6
_chemical_formula_sum 'K4 U4 Ru2 S12'
_symmetry_space_group_name_H-M 'C 1 2/m 1'
_symmetry_Int_Tables_number 12
_cell_length_a 6.476
_cell_length_b 10.979
_cell_length_c 8.107
_cell_angle_alpha 90.00
_cell_angle_beta 105.86
_cell_angle_gamma 90.00
loop_
_symmetry_equiv_pos_as_xyz
'x,y,z'
'-x,-y,-z'
'-x,y,-z'
'x,-y,z'
'x+1/2,y+1/2,z'
'-x+1/2,-y+1/2,-z'
'-x+1/2,y+1/2,-z'
'x+1/2,-y+1/2,z'
loop_
_atom_site_label
_atom_site_type_symbol
_atom_site_fract_x
_atom_site_fract_y
_atom_site_fract_z
K1 K 0.000 0.174 0.000
U1 U 0.000 0.333 0.500
Ru1 Ru 0.000 0.000 0.500
S1 S 0.223 0.153 0.695
S2 S 0.237 0.000 0.305
```

[4]
The following is a PBE-GGA calculation of a geometry-optimized KNaC3 structure, from the Alexandria database.

- energy above the lowest structure with this stoichiometry (meV/atom) = 272
- M_tot (Bohr magnetons per cell) = 8.00
- ΔE_f (meV/atom) = 3626

Structure (CIF):
```
data_KNaC3
_chemical_formula_sum 'K1 Na1 C3'
_symmetry_space_group_name_H-M 'P m -3 m'
_symmetry_Int_Tables_number 221
_symmetry_space_group_name_Hall '-P 4 2 3'
_cell_length_a 5.555
_cell_length_b 5.555
_cell_length_c 5.555
_cell_angle_alpha 90.00
_cell_angle_beta 90.00
_cell_angle_gamma 90.00
loop_
_atom_site_label
_atom_site_type_symbol
_atom_site_fract_x
_atom_site_fract_y
_atom_site_fract_z
K1 K 0.000 0.000 0.000
Na1 Na 0.500 0.500 0.500
C1 C 0.000 0.000 0.500
```